1.
Below is a geometry-optimized CuSF structure, with properties calculated at the PBE level.

The value obtained for the total energy is -3.886 eV/atom. The relative energy among the computed polymorphs comes out at 0.140 eV per atom.

The structure belongs to space group Pmn2_1 (No. 31); the cell edges are 3.3770, 5.7345 and 4.1855 Å and the angles 90.00°, 90.00° and 90.00°. Symmetry generates all atoms from Cu at (0.0000, 0.2156, 0.0000), S at (0.0000, 0.5518, 0.2627) and F at (0.0000, 0.9515, 0.6981).


2.
Below is a geometry-optimized Cu2S3F structure, with properties calculated at the PBE level.

The value obtained for the total energy is -3.892 eV/atom. The relative energy among the computed polymorphs comes out at 0.000 eV per atom.

The structure belongs to space group Pm (No. 6); the cell edges are 4.6233, 3.6366 and 5.7512 Å and the angles 90.00°, 95.83° and 90.00°. Symmetry generates all atoms from Cu at (0.0000, 0.0000, 0.0000), Cu at (0.3970, 0.5000, 0.5593), S at (0.1522, 0.0000, 0.6321), S at (0.3209, 0.5000, 0.1491), S at (0.6663, 0.5000, 0.9395) and F at (0.8320, 0.0000, 0.4519).


3.
Below is a geometry-optimized Sr2Cu2SeSF2 structure, with properties calculated at the PBE level.

The value obtained for the total energy is -4.823 eV/atom.

The structure belongs to space group P4mm (No. 99); the cell edges are 3.9780, 3.9780 and 8.6873 Å and the angles 90.00°, 90.00° and 90.00°. Symmetry generates all atoms from Sr at (0.0000, 0.0000, 0.0000), Sr at (0.5000, 0.5000, 0.3348), Cu at (0.0000, 0.5000, 0.6829), Se at (0.0000, 0.0000, 0.5029), S at (0.5000, 0.5000, 0.8359) and F at (0.0000, 0.5000, 0.1663).


4.
Below is a geometry-optimized Sr2Cu2TeSF2 structure, with properties calculated at the PBE level.

The value obtained for the total energy is -4.706 eV/atom.

The structure belongs to space group P4mm (No. 99); the cell edges are 4.0651, 4.0651 and 8.9212 Å and the angles 90.00°, 90.00° and 90.00°. Symmetry generates all atoms from Sr at (0.0000, 0.0000, 0.0000), Sr at (0.5000, 0.5000, 0.3169), Cu at (0.0000, 0.5000, 0.6983), Te at (0.0000, 0.0000, 0.5061), S at (0.5000, 0.5000, 0.8440) and F at (0.0000, 0.5000, 0.1596).